Material: Li4WO5
Method: DFT, PBE with a Hubbard U
State: relaxed

Unit cell a=5.157 b=5.909 c=6.720 alpha=102.56 beta=98.72 gamma=106.06
Space group P-1 (No. 2)
Asymmetric unit:
Li  0.000  0.000  0.000 x1
Li  0.000  0.500  0.000 x1
Li  0.167  0.393  0.392 x2
Li  0.197  0.892  0.387 x2
Li  0.399  0.799  0.800 x2
W  0.393  0.285  0.780 x2
O  0.117  0.975  0.715 x2
O  0.123  0.441  0.704 x2
O  0.323  0.367  0.087 x2
O  0.324  0.839  0.109 x2
O  0.494  0.257  0.522 x2

Properties
Uncorrected energy   -6.1114 eV/atom
Fermi-level density of states   0.00 states/eV per atom
Energy relative to the lowest polymorph listed for this composition   4.3 meV/atom